Here is crystalline Li5Mn3Ni2O10 at its relaxed geometry from Alexandria via LeMat-Bulk. Energies are from PBE with a Hubbard U.

Cell and atoms, written as extended XYZ:
```
20
Lattice="5.041 0.000 0.000 -1.813 5.588 0.000 -0.921 -1.895 6.395" Properties=species:S:1:pos:R:3 pbc="T T T"
Li 0.000 0.000 0.000
Li -1.055 4.336 2.556
Li 0.785 0.066 5.046
Li 1.522 3.627 1.349
Li 3.362 -0.643 3.839
Mn -0.906 2.794 0.000
Mn -0.103 1.440 2.550
Mn 2.410 2.252 3.845
Ni -0.133 3.000 5.150
Ni 2.441 0.693 1.245
O -0.994 1.251 4.330
O -1.859 3.859 4.421
O 0.646 1.806 0.799
O -0.101 4.479 0.567
O 1.523 0.594 3.130
O 0.784 3.099 3.265
O 2.408 -0.786 5.828
O 1.661 1.887 5.596
O 4.166 -0.166 1.974
O 3.301 2.441 2.065
```

Energy = -0.439 Ry/atom